First-principles (PBE) data for a relaxed structure of Pm3Pr2SmAs6, as listed in Alexandria.

abc: 9.5194 9.5194 8.5144
angles: 102.93 102.93 25.86
With the nearest neighbours (Å) after each atom.
Sites, in units of the cell vectors:
Pm 0.0000 0.0000 0.0000  6 As 2.99-3.02
Pm 0.3332 0.3332 0.6664  6 As 2.99-3.02
Pm 0.6668 0.6668 0.3336  6 As 2.99-3.02
Pr 0.3339 0.3339 0.1675  6 As 3.02-3.04
Pr 0.6661 0.6661 0.8325  6 As 3.02-3.04
Sm 0.0000 0.0000 0.5000  6 As 3.00
As 0.1658 0.1658 0.0855  3 Pm 2.99-3.00, 3 Pr 3.03-3.04
As 0.1661 0.1661 0.5800  3 Pm 2.99-3.02, 1 Sm 3.00, 2 Pr 3.03
As 0.4988 0.4988 0.7483  3 Pm 2.99-3.02, 2 Sm 3.00, 1 Pr 3.02
As 0.5012 0.5012 0.2517  3 Pm 2.99-3.02, 2 Sm 3.00, 1 Pr 3.02
As 0.8339 0.8339 0.4200  3 Pm 2.99-3.02, 1 Sm 3.00, 2 Pr 3.03
As 0.8342 0.8342 0.9145  3 Pm 2.99-3.00, 3 Pr 3.03-3.04

Output
N(E_F) ... 1.7 states/eV per cell
Symmetry ... No. 12
Raw total energy ... -74.62 eV/cell
Calculated density ... 6.68 g/cm3
Total magnetic moment ... 0.00 μB per formula unit
Formation energy from the elements ... -1.516 eV/atom